Entry from the Alexandria database: crystalline PmPuPCl at its relaxed geometry (PBE).

```
PmPuPCl
1.0
4.994 0.000 0.000
2.497 4.325 0.000
2.497 1.442 4.077
Cl Pm P Pu
1 1 1 1
Direct
0.500 0.500 0.500
0.250 0.250 0.250
0.000 0.000 0.000
0.750 0.750 0.750
```

Results
formation energy (no corrections) = -1.15 eV per atom
Fermi-level density of states = 6.77 states/eV per cell
total DFT energy (no corrections) = -7.74 eV per atom



Entry from the Alexandria database: crystalline Sc4CuAu3 at its relaxed geometry (PBE).

```
Sc4CuAu3
1.0
-4.061 -1.518 1.991
-0.049 -4.041 2.535
0.297 2.197 7.998
Sc Au Cu
4 3 1
Direct
0.876 0.876 0.371
0.374 0.374 0.877
0.124 0.124 0.629
0.626 0.626 0.123
0.254 0.254 0.238
0.746 0.746 0.762
0.500 0.500 0.500
0.000 0.000 0.000
```

Results
formation energy = -0.673 eV per atom
Fermi-level density of states = 5.26 states/eV per cell
total DFT energy (no corrections) = -5.58 eV per atom



Entry from the Alexandria database: crystalline La5Tb2Pm6 at its relaxed geometry (PBE).

```
La5Tb2Pm6
1.0
-3.148 -0.981 1.631
5.469 -9.322 4.947
4.994 11.816 16.743
La Tb Pm
10 4 12
Direct
0.500 0.302 0.449
0.500 0.698 0.551
0.500 0.802 0.051
0.500 0.198 0.949
0.500 0.583 0.272
0.500 0.417 0.728
0.500 0.083 0.228
0.500 0.917 0.772
0.500 0.500 0.000
0.500 0.000 0.500
0.000 0.329 0.290
0.000 0.671 0.710
0.000 0.829 0.210
0.000 0.171 0.790
0.000 0.083 0.369
0.000 0.917 0.631
0.000 0.583 0.131
0.000 0.417 0.869
0.500 0.325 0.140
0.500 0.675 0.860
0.500 0.825 0.360
0.500 0.175 0.640
0.000 0.562 0.419
0.000 0.438 0.581
0.000 0.062 0.081
0.000 0.938 0.919
```

Results
formation energy = 0.084 eV per atom
Fermi-level density of states = 33.26 states/eV per cell
total DFT energy (no corrections) = -4.72 eV per atom



Entry from the Alexandria database: crystalline Y2ErO at its relaxed geometry (PBE).

```
Y2ErO
1.0
3.529 0.000 0.000
1.764 3.056 0.000
1.764 1.019 8.660
Y O Er
2 1 1
Direct
0.719 0.719 0.842
0.281 0.281 0.158
0.000 0.000 0.000
0.500 0.500 0.500
```

Results
formation energy (no corrections) = -1.35 eV per atom
Fermi-level density of states = 4.72 states/eV per cell
total DFT energy (no corrections) = -6.96 eV per atom
energy above the lowest structure with this stoichiometry = 0.000 eV/atom



Number 1: V 22.01 Å³ per atom. Number 2: V 19.29 Å³ per atom. Number 3: V 35.47 Å³ per atom. Number 4: V 23.35 Å³ per atom.